(1)
# GGA-PBE TlGeRh2, optimized geometry
data_TlGeRh2
_symmetry_space_group_name_H-M 'I -4 2 d'
_symmetry_Int_Tables_number 122
_symmetry_space_group_name_Hall 'I -4 2bw'
_cell_length_a 7.038
_cell_length_b 7.038
_cell_length_c 5.899
_cell_angle_alpha 90.00
_cell_angle_beta 90.00
_cell_angle_gamma 90.00
loop_
_atom_site_label
_atom_site_fract_x
_atom_site_fract_y
_atom_site_fract_z
Tl1 0.000 0.000 0.000
Ge1 0.000 0.000 0.500
Rh1 0.200 0.250 0.625
# E_form = 0.021 eV per atom
# calculated volume = 18.26 A^3/atom
# M_tot = 0.0 μB/cell

(2)
# GGA-PBE Hf2Sn, optimized geometry
data_Hf2Sn
_symmetry_space_group_name_H-M 'C m m m'
_symmetry_Int_Tables_number 65
_symmetry_space_group_name_Hall '-C 2 2'
_cell_length_a 4.497
_cell_length_b 14.187
_cell_length_c 4.088
_cell_angle_alpha 90.00
_cell_angle_beta 90.00
_cell_angle_gamma 90.00
loop_
_atom_site_label
_atom_site_fract_x
_atom_site_fract_y
_atom_site_fract_z
Hf1 0.000 0.000 0.000
Hf2 0.000 0.172 0.500
Hf3 0.000 0.500 0.500
Sn1 0.000 0.344 0.000
# E_form = -0.304 eV per atom
# calculated volume = 21.73 A^3/atom
# M_tot = 0.0 μB/cell

(3)
# GGA-PBE TbHfAu4, optimized geometry
data_TbHfAu4
_symmetry_space_group_name_H-M 'P 4/m m m'
_symmetry_Int_Tables_number 123
_symmetry_space_group_name_Hall '-P 4 2'
_cell_length_a 3.661
_cell_length_b 3.661
_cell_length_c 8.954
_cell_angle_alpha 90.00
_cell_angle_beta 90.00
_cell_angle_gamma 90.00
loop_
_atom_site_label
_atom_site_fract_x
_atom_site_fract_y
_atom_site_fract_z
Tb1 0.000 0.000 0.000
Hf1 0.500 0.500 0.500
Au1 0.000 0.000 0.341
Au2 0.500 0.500 0.176
# E_form = -0.700 eV per atom
# calculated volume = 20.00 A^3/atom
# M_tot = 0.0 μB/cell

(4)
# GGA-PBE NbFeTeIrN, optimized geometry
data_NbFeTeIrN
_symmetry_space_group_name_H-M 'A m m 2'
_symmetry_Int_Tables_number 38
_cell_length_a 3.630
_cell_length_b 4.026
_cell_length_c 11.056
_cell_angle_alpha 90.00
_cell_angle_beta 90.00
_cell_angle_gamma 90.00
loop_
_symmetry_equiv_pos_as_xyz
'x,y,z'
'-x,-y,z'
'-x,y,z'
'x,-y,z'
'x,y+1/2,z+1/2'
'-x,-y+1/2,z+1/2'
'-x,y+1/2,z+1/2'
'x,-y+1/2,z+1/2'
loop_
_atom_site_label
_atom_site_fract_x
_atom_site_fract_y
_atom_site_fract_z
Nb1 0.000 0.000 0.000
Fe1 0.500 0.000 0.413
Te1 0.000 0.000 0.730
Ir1 0.500 0.000 0.177
N1 0.000 0.000 0.445
# uncorrected formation energy = -0.0653 eV per atom
# calculated volume = 16.16 A^3/atom
# offset from the most stable computed form = 0.447 eV/f.u.
# M_tot = 4.4 μB/cell